[1]
{"formula": "LiNpTe4Pb2", "functional": "GGA-PBE", "state": "relaxed", "formation_energy_uncorrected_ev_per_atom": -0.555, "dft_energy_ev_per_atom": -4.91, "spacegroup": "P2/m", "m_tot_mub_per_fu": 4.0, "lattice": [[7.773, 0.000, 0.000], [0.000, 4.511, 0.000], [-2.560, 0.000, 7.445]], "species": ["Li", "Np", "Te", "Te", "Te", "Te", "Pb", "Pb"], "frac_coords": [[0.000, 0.000, 0.000], [0.500, 0.500, 0.000], [0.241, 0.500, 0.230], [0.253, 0.000, 0.768], [0.747, 0.000, 0.232], [0.759, 0.500, 0.770], [0.000, 0.500, 0.500], [0.500, 0.000, 0.500]]}

=====

[2]
{"formula": "Li2NpPd6", "functional": "GGA-PBE", "state": "relaxed", "dft_energy_ev_per_atom": -5.65, "spacegroup": "P4_2/mnm", "m_tot_mub_per_fu": 3.0, "lattice": [[8.325, 0.000, 0.000], [0.000, 8.325, 0.000], [0.000, 0.000, 4.145]], "species": ["Li", "Li", "Li", "Li", "Np", "Np", "Pd", "Pd", "Pd", "Pd", "Pd", "Pd", "Pd", "Pd", "Pd", "Pd", "Pd", "Pd"], "frac_coords": [[0.197, 0.197, 0.000], [0.303, 0.697, 0.500], [0.697, 0.303, 0.500], [0.803, 0.803, 0.000], [0.000, 0.000, 0.500], [0.500, 0.500, 0.000], [0.012, 0.330, 0.500], [0.153, 0.847, 0.000], [0.170, 0.512, 0.000], [0.330, 0.012, 0.500], [0.347, 0.347, 0.500], [0.488, 0.830, 0.000], [0.512, 0.170, 0.000], [0.653, 0.653, 0.500], [0.670, 0.988, 0.500], [0.830, 0.488, 0.000], [0.847, 0.153, 0.000], [0.988, 0.670, 0.500]]}

=====

[3]
{"formula": "LiNp2Pd9", "functional": "GGA-PBE", "state": "relaxed", "dft_energy_ev_per_atom": -6.59, "spacegroup": "P4/mmm", "m_tot_mub_per_fu": 6.1, "lattice": [[4.114, 0.000, 0.000], [0.000, 4.114, 0.000], [0.000, 0.000, 11.910]], "species": ["Li", "Np", "Np", "Pd", "Pd", "Pd", "Pd", "Pd", "Pd", "Pd", "Pd", "Pd"], "frac_coords": [[0.000, 0.000, 0.000], [0.000, 0.000, 0.321], [0.000, 0.000, 0.679], [0.000, 0.500, 0.158], [0.000, 0.500, 0.500], [0.000, 0.500, 0.842], [0.500, 0.000, 0.158], [0.500, 0.000, 0.500], [0.500, 0.000, 0.842], [0.500, 0.500, 0.000], [0.500, 0.500, 0.330], [0.500, 0.500, 0.670]]}

=====

[4]
{"formula": "Li2NpPd5", "functional": "GGA-PBE", "state": "relaxed", "dft_energy_ev_per_atom": -5.71, "spacegroup": "I4/mmm", "m_tot_mub_per_fu": 2.9, "lattice": [[-3.368, 3.368, 2.880], [3.368, -3.368, 2.880], [3.368, 3.368, -2.880]], "species": ["Li", "Li", "Np", "Pd", "Pd", "Pd", "Pd", "Pd"], "frac_coords": [[0.000, 0.500, 0.500], [0.500, 0.000, 0.500], [0.000, 0.000, 0.000], [0.000, 0.000, 0.500], [0.000, 0.500, 0.000], [0.500, 0.000, 0.000], [0.500, 0.500, 0.000], [0.500, 0.500, 0.500]]}

=====

[5]
{"formula": "Li3NpPd12", "functional": "GGA-PBE", "state": "relaxed", "dft_energy_ev_per_atom": -5.36, "spacegroup": "P4/mmm", "m_tot_mub_per_fu": 2.9, "lattice": [[4.031, 0.000, 0.000], [0.000, 4.031, 0.000], [0.000, 0.000, 15.294]], "species": ["Li", "Li", "Li", "Np", "Pd", "Pd", "Pd", "Pd", "Pd", "Pd", "Pd", "Pd", "Pd", "Pd", "Pd", "Pd"], "frac_coords": [[0.000, 0.000, 0.000], [0.000, 0.000, 0.239], [0.000, 0.000, 0.761], [0.000, 0.000, 0.500], [0.000, 0.500, 0.119], [0.000, 0.500, 0.366], [0.000, 0.500, 0.634], [0.000, 0.500, 0.881], [0.500, 0.000, 0.119], [0.500, 0.000, 0.366], [0.500, 0.000, 0.634], [0.500, 0.000, 0.881], [0.500, 0.500, 0.000], [0.500, 0.500, 0.241], [0.500, 0.500, 0.500], [0.500, 0.500, 0.759]]}

=====

[6]
{"formula": "LiNpPd4", "functional": "GGA-PBE", "state": "relaxed", "dft_energy_ev_per_atom": -6.23, "spacegroup": "F-43m", "m_tot_mub_per_fu": 4.1, "lattice": [[0.000, 3.779, 3.779], [3.779, 0.000, 3.779], [3.779, 3.779, 0.000]], "species": ["Li", "Np", "Pd", "Pd", "Pd", "Pd"], "frac_coords": [[0.000, 0.000, 0.000], [0.750, 0.750, 0.750], [0.375, 0.375, 0.375], [0.375, 0.375, 0.876], [0.375, 0.876, 0.375], [0.876, 0.375, 0.375]]}

=====

[7]
{"formula": "Li2NpPd8", "functional": "GGA-PBE", "state": "relaxed", "e_above_lowest_polymorph_mev_per_atom": 0, "dft_energy_ev_per_atom": -5.65, "spacegroup": "C2/m", "m_tot_mub_per_fu": 2.6, "lattice": [[7.042, -2.069, 0.000], [7.042, 2.069, 0.000], [-1.788, 0.000, 5.979]], "species": ["Li", "Li", "Np", "Pd", "Pd", "Pd", "Pd", "Pd", "Pd", "Pd", "Pd"], "frac_coords": [[0.226, 0.226, 0.146], [0.774, 0.774, 0.854], [0.500, 0.500, 0.500], [0.047, 0.047, 0.228], [0.143, 0.143, 0.699], [0.317, 0.317, 0.576], [0.405, 0.405, 0.038], [0.595, 0.595, 0.962], [0.683, 0.683, 0.424], [0.857, 0.857, 0.301], [0.953, 0.953, 0.772]]}

=====

[8]
{"formula": "Li2NpPd8", "functional": "GGA-PBE", "state": "relaxed", "e_above_lowest_polymorph_mev_per_atom": 98, "dft_energy_ev_per_atom": -5.55, "spacegroup": "C2/m", "m_tot_mub_per_fu": 2.7, "lattice": [[6.644, -2.702, 0.000], [6.644, 2.702, 0.000], [-0.013, 0.000, 4.835]], "species": ["Li", "Li", "Np", "Pd", "Pd", "Pd", "Pd", "Pd", "Pd", "Pd", "Pd"], "frac_coords": [[0.245, 0.245, 0.379], [0.755, 0.755, 0.621], [0.500, 0.500, 0.000], [0.093, 0.093, 0.106], [0.150, 0.653, 0.396], [0.294, 0.294, 0.877], [0.347, 0.850, 0.604], [0.653, 0.150, 0.396], [0.706, 0.706, 0.123], [0.850, 0.347, 0.604], [0.907, 0.907, 0.894]]}